A plane-wave DFT calculation with PBE-GGA was carried out for an optimized crystal structure of Li3TaTl.

a = 4.7758 Å, b = 4.7758 Å, c = 4.7758 Å
α = 90.00°, β = 90.00°, γ = 90.00°
With the nearest neighbours (Å) after each atom.
Atoms (fractional coordinates):
Li  0.0000  0.0000  0.5000  2 Tl 2.39
Li  0.0000  0.5000  0.0000  2 Tl 2.39
Li  0.5000  0.0000  0.0000  2 Tl 2.39
Ta  0.5000  0.5000  0.5000  12 Li 3.38
Tl  0.0000  0.0000  0.0000  6 Li 2.39

Computed properties:
Offset from the most stable computed form   0.000 eV/atom
Space group   Pm-3m, No. 221
DOS at the Fermi energy   2.30 states/eV per cell
Electronic total energy   -2.94 eV per atom
Formation enthalpy at 0 K   1051.8 meV/atom